1.
First-principles (GGA-PBE) data for Tl6Te2S after structural relaxation, as listed in the Alexandria database.

Structure (POSCAR):
```
Tl6Te2S
1.0
4.766 0.000 0.000
0.000 8.076 3.983
0.000 -8.076 3.983
Tl Te S
6 2 1
Direct
0.000 0.000 0.000
0.000 0.518 0.756
0.000 0.756 0.518
0.500 0.141 0.742
0.500 0.304 0.304
0.500 0.742 0.141
0.000 0.081 0.415
0.000 0.415 0.081
0.500 0.648 0.648
```

Output
Total moment in μB/cell: 0.00
Calculated density in g/cm3: 8.20
Raw total energy in eV per atom: -2.98
Energy above the lowest structure with this stoichiometry in kJ per mole of atoms: 5.7
Raw formation energy in kJ per mole of atoms: -23.9

2.
First-principles (GGA-PBE) data for TlZnP2 after structural relaxation, as listed in the Alexandria database.

Structure (POSCAR):
```
TlZnP2
1.0
-2.352 2.352 3.466
2.352 -2.352 3.466
2.352 2.352 -3.466
Tl Zn P
1 1 2
Direct
0.000 0.000 0.000
0.250 0.750 0.500
0.500 0.500 0.000
0.750 0.250 0.500
```

Output
Total moment in μB/cell: 0.00
Calculated density in g/cm3: 7.18
Raw total energy in eV per atom: -3.00
Energy above the lowest structure with this stoichiometry in kJ per mole of atoms: 48.8

3.
First-principles (GGA-PBE) data for BaCdPbO3 after structural relaxation, as listed in the Alexandria database.

Structure (POSCAR):
```
BaCdPbO3
1.0
7.122 0.000 0.000
0.000 3.563 0.000
-0.911 0.000 9.358
Ba Cd Pb O
2 2 2 6
Direct
0.160 0.250 0.183
0.840 0.750 0.817
0.360 0.750 0.892
0.640 0.250 0.108
0.201 0.250 0.590
0.799 0.750 0.410
0.123 0.750 0.424
0.137 0.250 0.859
0.425 0.750 0.135
0.575 0.250 0.865
0.863 0.750 0.141
0.877 0.250 0.576
```

Output
Total moment in μB/cell: 0.00
Calculated density in g/cm3: 7.06
Raw total energy in eV per atom: -5.07
Raw formation energy in kJ per mole of atoms: -144.3

4.
First-principles (GGA-PBE) data for BaAs2Cl after structural relaxation, as listed in the Alexandria database.

Structure (POSCAR):
```
BaAs2Cl
1.0
3.933 -2.270 0.000
3.933 2.270 0.000
-2.656 0.000 7.803
Ba As Cl
1 2 1
Direct
0.000 0.000 0.000
0.227 0.227 0.686
0.556 0.556 0.671
0.735 0.735 0.201
```

Output
Total moment in μB/cell: 0.00
Calculated density in g/cm3: 3.84
Raw total energy in eV per atom: -4.29
Energy above the lowest structure with this stoichiometry in kJ per mole of atoms: 3.6
Raw formation energy in kJ per mole of atoms: -98.9

5.
First-principles (GGA-PBE) data for Ho4Sb2C after structural relaxation, as listed in the Alexandria database.

Structure (POSCAR):
```
Ho4Sb2C
1.0
-2.382 2.382 7.834
2.382 -2.382 7.834
2.382 2.382 -7.834
Ho Sb C
4 2 1
Direct
0.000 0.500 0.500
0.157 0.157 0.000
0.500 0.000 0.500
0.843 0.843 0.000
0.358 0.358 0.000
0.642 0.642 0.000
0.000 0.000 0.000
```

Output
Total moment in μB/cell: 0.00
Calculated density in g/cm3: 8.55
Raw total energy in eV per atom: -5.89
Energy above the lowest structure with this stoichiometry in kJ per mole of atoms: 0.0
Raw formation energy in kJ per mole of atoms: -74.9

6.
First-principles (GGA-PBE) data for Ba3InPb2O9 after structural relaxation, as listed in the Alexandria database.

Structure (POSCAR):
```
Ba3InPb2O9
1.0
6.124 0.000 0.000
-3.062 5.304 0.000
0.000 0.000 7.512
Ba In Pb O
3 1 2 9
Direct
0.000 0.000 0.000
0.333 0.667 0.664
0.667 0.333 0.336
0.000 0.000 0.500
0.333 0.667 0.170
0.667 0.333 0.830
0.000 0.500 0.000
0.166 0.332 0.334
0.166 0.834 0.334
0.332 0.166 0.666
0.500 0.000 0.000
0.500 0.500 0.000
0.668 0.834 0.334
0.834 0.166 0.666
0.834 0.668 0.666
```

Output
Total moment in μB/cell: 0.46
Calculated density in g/cm3: 7.38
Raw total energy in eV per atom: -5.73
Raw formation energy in kJ per mole of atoms: -163.0

7.
First-principles (GGA-PBE) data for Te2S6I after structural relaxation, as listed in the Alexandria database.

Structure (POSCAR):
```
Te2S6I
1.0
5.612 0.000 0.000
-1.871 7.115 0.000
-0.074 -2.647 7.033
Te S I
2 6 1
Direct
0.031 0.258 0.233
0.969 0.742 0.767
0.164 0.481 0.042
0.357 0.970 0.071
0.390 0.556 0.438
0.610 0.444 0.562
0.643 0.030 0.929
0.836 0.519 0.958
0.000 0.000 0.500
```

Output
Total moment in μB/cell: 0.00
Calculated density in g/cm3: 3.40
Raw total energy in eV per atom: -3.46
Raw formation energy in kJ per mole of atoms: 15.4

8.
First-principles (GGA-PBE) data for AlCo2As after structural relaxation, as listed in the Alexandria database.

Structure (POSCAR):
```
AlCo2As
1.0
-3.237 3.237 2.687
3.237 -3.237 2.687
3.237 3.237 -2.687
Al Co As
2 4 2
Direct
0.000 0.000 0.000
0.750 0.250 0.500
0.163 0.625 0.038
0.375 0.413 0.538
0.587 0.125 0.962
0.875 0.837 0.462
0.250 0.750 0.500
0.500 0.500 0.000
```

Output
Total moment in μB/cell: 0.00
Calculated density in g/cm3: 6.48
Raw total energy in eV per atom: -5.47
Energy above the lowest structure with this stoichiometry in kJ per mole of atoms: 41.5

9.
First-principles (GGA-PBE) data for NaCeB2O6 after structural relaxation, as listed in the Alexandria database.

Structure (POSCAR):
```
NaCeB2O6
1.0
3.736 -5.184 0.000
3.736 5.184 0.000
-1.941 0.000 6.912
Na Ce B O
2 2 4 12
Direct
0.099 0.901 0.750
0.901 0.099 0.250
0.421 0.579 0.250
0.579 0.421 0.750
0.122 0.415 0.764
0.415 0.122 0.264
0.585 0.878 0.736
0.878 0.585 0.236
0.061 0.519 0.266
0.159 0.247 0.647
0.247 0.159 0.147
0.303 0.534 0.922
0.466 0.697 0.578
0.481 0.939 0.234
0.519 0.061 0.766
0.534 0.303 0.422
0.697 0.466 0.078
0.753 0.841 0.853
0.841 0.753 0.353
0.939 0.481 0.734
```

Output
Total moment in μB/cell: 1.98
Calculated density in g/cm3: 3.48
Raw total energy in eV per atom: -7.44
Raw formation energy in kJ per mole of atoms: -232.0

10.
First-principles (GGA-PBE) data for Tb3Pm2Cd2 after structural relaxation, as listed in the Alexandria database.

Structure (POSCAR):
```
Tb3Pm2Cd2
1.0
2.727 1.575 8.056
-2.727 1.575 8.056
0.000 -3.149 8.056
Tb Pm Cd
3 2 2
Direct
0.000 0.000 0.000
0.157 0.157 0.157
0.843 0.843 0.843
0.425 0.425 0.425
0.575 0.575 0.575
0.288 0.288 0.288
0.712 0.712 0.712
```

Output
Total moment in μB/cell: 0.00
Calculated density in g/cm3: 7.93
Raw total energy in eV per atom: -3.75
Energy above the lowest structure with this stoichiometry in kJ per mole of atoms: 0.0

11.
First-principles (GGA-PBE) data for NdY4Au5 after structural relaxation, as listed in the Alexandria database.

Structure (POSCAR):
```
NdY4Au5
1.0
3.599 0.000 0.000
0.000 3.599 0.000
0.000 0.000 18.443
Nd Y Au
1 4 5
Direct
0.000 0.000 0.000
0.000 0.000 0.204
0.000 0.000 0.401
0.000 0.000 0.599
0.000 0.000 0.796
0.500 0.500 0.109
0.500 0.500 0.303
0.500 0.500 0.500
0.500 0.500 0.697
0.500 0.500 0.891
```

Output
Total moment in μB/cell: 0.00
Calculated density in g/cm3: 10.32
Raw total energy in eV per atom: -5.54

12.
First-principles (GGA-PBE) data for KMnW2 after structural relaxation, as listed in the Alexandria database.

Structure (POSCAR):
```
KMnW2
1.0
1.535 -2.272 0.000
1.535 2.272 0.000
0.000 0.000 10.387
K Mn W
1 1 2
Direct
0.000 0.000 0.000
0.000 0.000 0.500
0.500 0.500 0.304
0.500 0.500 0.696
```

Output
Total moment in μB/cell: 1.48
Calculated density in g/cm3: 10.59
Raw total energy in eV per atom: -8.15
Energy above the lowest structure with this stoichiometry in kJ per mole of atoms: 6.3

13.
First-principles (GGA-PBE) data for Fe2HRuRh after structural relaxation, as listed in the Alexandria database.

Structure (POSCAR):
```
Fe2HRuRh
1.0
3.716 0.000 0.000
0.000 3.716 0.000
0.000 0.000 3.711
Fe H Ru Rh
2 1 1 1
Direct
0.000 0.500 0.000
0.500 0.000 0.000
0.000 0.000 0.000
0.000 0.000 0.500
0.500 0.500 0.500
```

Output
Total moment in μB/cell: 0.00
Calculated density in g/cm3: 10.26
Raw total energy in eV per atom: -7.23
Energy above the lowest structure with this stoichiometry in kJ per mole of atoms: 0.0

14.
First-principles (GGA-PBE) data for BiPbS3 after structural relaxation, as listed in the Alexandria database.

Structure (POSCAR):
```
BiPbS3
1.0
5.213 0.000 0.000
0.000 5.213 0.000
0.000 0.000 5.213
Bi Pb S
1 1 3
Direct
0.000 0.000 0.000
0.500 0.500 0.500
0.000 0.000 0.500
0.000 0.500 0.000
0.500 0.000 0.000
```

Output
Total moment in μB/cell: 0.00
Calculated density in g/cm3: 6.01
Raw total energy in eV per atom: -3.86
Energy above the lowest structure with this stoichiometry in kJ per mole of atoms: 40.3
Raw formation energy in kJ per mole of atoms: 13.0

15.
First-principles (GGA-PBE) data for Th3W5C12 after structural relaxation, as listed in the Alexandria database.

Structure (POSCAR):
```
Th3W5C12
1.0
-6.638 6.638 6.638
6.638 -6.638 6.638
6.638 6.638 -6.638
Th W C
12 20 48
Direct
0.125 0.250 0.375
0.125 0.375 0.750
0.250 0.375 0.125
0.250 0.875 0.625
0.375 0.125 0.250
0.375 0.750 0.125
0.625 0.250 0.875
0.625 0.875 0.750
0.750 0.125 0.375
0.750 0.625 0.875
0.875 0.625 0.250
0.875 0.750 0.625
0.000 0.000 0.000
0.000 0.000 0.500
0.000 0.500 0.000
0.000 0.500 0.500
0.125 0.750 0.875
0.125 0.875 0.250
0.250 0.125 0.875
0.250 0.625 0.375
0.375 0.250 0.625
0.375 0.625 0.750
0.500 0.000 0.000
0.500 0.000 0.500
0.500 0.500 0.000
0.500 0.500 0.500
0.625 0.375 0.250
0.625 0.750 0.375
0.750 0.375 0.625
0.750 0.875 0.125
0.875 0.125 0.750
0.875 0.250 0.125
0.021 0.201 0.115
0.021 0.320 0.905
0.086 0.701 0.680
0.086 0.885 0.405
0.095 0.615 0.414
0.095 0.979 0.680
0.115 0.021 0.201
0.115 0.595 0.914
0.180 0.201 0.586
0.180 0.479 0.595
0.201 0.115 0.021
0.201 0.586 0.180
0.299 0.320 0.914
0.299 0.479 0.385
0.320 0.905 0.021
0.320 0.914 0.299
0.385 0.299 0.479
0.385 0.586 0.905
0.405 0.086 0.885
0.405 0.820 0.521
0.414 0.095 0.615
0.414 0.820 0.799
0.479 0.385 0.299
0.479 0.595 0.180
0.521 0.405 0.820
0.521 0.615 0.701
0.586 0.180 0.201
0.586 0.905 0.385
0.595 0.180 0.479
0.595 0.914 0.115
0.615 0.414 0.095
0.615 0.701 0.521
0.680 0.086 0.701
0.680 0.095 0.979
0.701 0.521 0.615
0.701 0.680 0.086
0.799 0.414 0.820
0.799 0.885 0.979
0.820 0.521 0.405
0.820 0.799 0.414
0.885 0.405 0.086
0.885 0.979 0.799
0.905 0.021 0.320
0.905 0.385 0.586
0.914 0.115 0.595
0.914 0.299 0.320
0.979 0.680 0.095
0.979 0.799 0.885
```

Output
Total moment in μB/cell: 0.00
Calculated density in g/cm3: 9.99
Raw total energy in eV per atom: -9.23

16.
First-principles (GGA-PBE) data for Sm12Tm7Tl after structural relaxation, as listed in the Alexandria database.

Structure (POSCAR):
```
Sm12Tm7Tl
1.0
6.076 3.508 5.086
-6.076 3.508 5.086
0.000 -7.016 5.086
Sm Tm Tl
12 7 1
Direct
0.005 0.883 0.357
0.117 0.643 0.995
0.238 0.368 0.762
0.238 0.762 0.632
0.357 0.005 0.883
0.368 0.762 0.238
0.632 0.238 0.762
0.643 0.995 0.117
0.762 0.238 0.368
0.762 0.632 0.238
0.883 0.357 0.005
0.995 0.117 0.643
0.000 0.000 0.000
0.119 0.441 0.353
0.353 0.119 0.441
0.441 0.353 0.119
0.559 0.647 0.881
0.647 0.881 0.559
0.881 0.559 0.647
0.500 0.500 0.500
```

Output
Total moment in μB/cell: 0.31
Calculated density in g/cm3: 8.15
Raw total energy in eV per atom: -4.34

17.
First-principles (GGA-PBE) data for BaAlInAg3 after structural relaxation, as listed in the Alexandria database.

Structure (POSCAR):
```
BaAlInAg3
1.0
3.372 -6.702 0.000
3.372 6.702 0.000
0.000 0.000 6.842
Ba Al In Ag
2 2 2 6
Direct
0.216 0.784 0.750
0.784 0.216 0.250
0.465 0.535 0.750
0.535 0.465 0.250
0.132 0.868 0.250
0.868 0.132 0.750
0.216 0.216 0.000
0.216 0.216 0.500
0.342 0.658 0.250
0.658 0.342 0.750
0.784 0.784 0.000
0.784 0.784 0.500
```

Output
Total moment in μB/cell: 0.00
Calculated density in g/cm3: 6.47
Raw total energy in eV per atom: -2.93

18.
First-principles (GGA-PBE) data for ErTm2Sc after structural relaxation, as listed in the Alexandria database.

Structure (POSCAR):
```
ErTm2Sc
1.0
6.743 0.000 0.000
0.000 6.674 0.000
-0.015 0.000 10.651
Er Tm Sc
4 8 4
Direct
0.125 0.127 0.109
0.125 0.873 0.609
0.875 0.127 0.391
0.875 0.873 0.891
0.131 0.376 0.616
0.131 0.624 0.116
0.377 0.128 0.387
0.377 0.872 0.887
0.623 0.128 0.113
0.623 0.872 0.613
0.869 0.376 0.884
0.869 0.624 0.384
0.378 0.376 0.888
0.378 0.624 0.388
0.622 0.376 0.612
0.622 0.624 0.112
```

Output
Total moment in μB/cell: 0.00
Calculated density in g/cm3: 7.62
Raw total energy in eV per atom: -4.73
Energy above the lowest structure with this stoichiometry in kJ per mole of atoms: 20.0

19.
First-principles (GGA-PBE) data for TeAsRhSe2 after structural relaxation, as listed in the Alexandria database.

Structure (POSCAR):
```
TeAsRhSe2
1.0
5.010 0.000 0.000
0.000 5.010 0.000
0.000 0.000 4.657
Te As Rh Se
1 1 1 2
Direct
0.000 0.000 0.000
0.500 0.500 0.000
0.500 0.500 0.500
0.000 0.500 0.500
0.500 0.000 0.500
```

Output
Total moment in μB/cell: 0.00
Calculated density in g/cm3: 6.58
Raw total energy in eV per atom: -4.09
Energy above the lowest structure with this stoichiometry in kJ per mole of atoms: 0.0
Raw formation energy in kJ per mole of atoms: 31.9

20.
First-principles (GGA-PBE) data for K2SrBH after structural relaxation, as listed in the Alexandria database.

Structure (POSCAR):
```
K2SrBH
1.0
4.898 0.000 0.000
0.000 4.898 0.000
0.000 0.000 5.527
K Sr B H
2 1 1 1
Direct
0.000 0.500 0.000
0.500 0.000 0.000
0.000 0.000 0.500
0.500 0.500 0.500
0.000 0.000 0.000
```

Output
Total moment in μB/cell: 1.65
Calculated density in g/cm3: 2.22
Raw total energy in eV per atom: -2.14